Record 1
The following is a PBE calculation of an optimized crystal structure of InPb5S5, from Alexandria.

Lattice parameters (Å, degrees): 13.1334 5.8965 8.2860 90.00 108.28 90.00
Last column: nearest neighbours and their distance in Å.
Space group C2/m (No. 12)
Unique sites:
In1 0.0000 0.0000 0.0000  6 S 2.90-3.04
Pb1 0.0000 0.0000 0.5000  4 S 2.93-3.02
Pb2 0.1605 0.5000 0.3398  5 S 2.94-2.97
Pb3 0.1628 0.5000 0.8247  5 S 2.93-2.95
S1 0.0000 0.5000 0.0000  4 Pb 2.94, 2 In 2.95
S2 0.1644 0.0000 0.3293  1 In 2.90, 5 Pb 2.93-2.97
S3 0.1771 0.0000 0.8367  5 Pb 2.93-3.02, 1 In 3.04

Output
- energy relative to the elements, uncorrected (eV/atom) = -0.39
- D(E_F) (states/eV/atom) = 0.198
- raw total energy (eV/cell) = -92.3

***

Record 2
The following is a PBE calculation of an optimized crystal structure of CaMo3H, from Alexandria.

Lattice parameters (Å, degrees): 4.2198 4.2198 4.2198 90.00 90.00 90.00
Last column: nearest neighbours and their distance in Å.
Space group Pm-3m (No. 221)
Unique sites:
Ca1 0.0000 0.0000 0.0000  12 Mo 2.98
Mo1 0.0000 0.5000 0.5000  2 H 2.11
H1 0.5000 0.5000 0.5000  6 Mo 2.11

Output
- distance to the lowest polymorph of the same formula (meV per atom) = 0
- D(E_F) (states/eV/atom) = 1.248
- raw total energy (eV/cell) = -34.1

***

Record 3
The following is a PBE calculation of an optimized crystal structure of AlMoW2, from Alexandria.

Lattice parameters (Å, degrees): 7.6623 2.7125 13.1944 90.00 90.00 90.00
Last column: nearest neighbours and their distance in Å.
Space group Pnna (No. 52)
Unique sites:
Al1 0.0262 0.2500 0.2500  4 W 2.67-2.83, 2 Al 2.71, 2 Mo 2.79
Mo1 0.2500 0.0000 0.0917  2 Mo 2.71, 4 W 2.73, 2 Al 2.79
W1 0.0880 0.1911 0.5815  2 Al 2.67-2.83, 4 W 2.69-2.74, 2 Mo 2.73

Output
- D(E_F) (states/eV/atom) = 0.610
- raw total energy (eV/cell) = -157.5